[1]
## Ca3NdU3As8 (PBE)

Data for a relaxed structure of Ca3NdU3As8.

a = 8.3124 Å, b = 8.3124 Å, c = 20.3817 Å
α = 90.00°, β = 90.00°, γ = 120.00°
Space group R-3m (No. 166, hexagonal axes)
Unique sites:
Ca (0.0000, 0.5000, 0.0000)
Nd (0.0000, 0.0000, 0.5000)
U (0.0000, 0.5000, 0.5000)
As (0.0000, 0.0000, 0.2438)
As (0.0206, 0.5103, 0.7565)

Computed properties:
E: -6.320 eV/atom

[2]
## Ca2TaAg (PBE)

Data for a relaxed structure of Ca2TaAg.

a = 3.487 Å, b = 5.339 Å, c = 10.447 Å
α = 90.00°, β = 90.00°, γ = 90.00°
Space group Immm (No. 71)
Unique sites:
Ca (0.000, 0.000, 0.227)
Ta (0.000, 0.500, 0.000)
Ag (0.000, 0.500, 0.500)

Computed properties:
Offset from the most stable computed form: 289 meV/atom

| no. | calculated density (kg/m³) |
| --- | --- |
| 1 | 6445 |
| 2 | 6301 |